No. 1
Computed, not measured: crystalline MnTl2Cr at its relaxed geometry at the GGA-PBE level of DFT.

Values from the calculation:
**Symmetry**: I-4m2, No. 119
**Energy of formation from the pure elements**: 0.64 eV per atom

Unit cell a=5.6701 b=5.6701 c=5.6701 alpha=137.92 beta=137.92 gamma=61.02
Atoms (fractional coordinates):
Cr: 0.5000 0.5000 0.0000
Mn: 0.7500 0.2500 0.5000
Tl: 0.0000 0.0000 0.0000
Tl: 0.2500 0.7500 0.5000

---

No. 2
Computed, not measured: crystalline Ti4MoS at its relaxed geometry at the GGA-PBE level of DFT.

Values from the calculation:
**Energy relative to the elements, uncorrected**: 0.038 eV/atom
**Symmetry**: I4_1md, No. 109

Unit cell a=6.6578 b=6.6578 c=6.6578 alpha=110.47 beta=110.47 gamma=107.49
Atoms (fractional coordinates):
Ti: 0.2655 0.9593 0.6938
Ti: 0.7354 0.4287 0.6933
Ti: 0.7093 0.5155 0.1938
Ti: 0.1787 0.9854 0.1933
Ti: 0.3217 0.5155 0.8062
Ti: 0.7922 0.9854 0.8067
Ti: 0.7354 0.0422 0.3067
Ti: 0.2655 0.5717 0.3062
Mo: 0.2446 0.2446 0.0000
Mo: 0.9946 0.4946 0.5000
S: 0.7535 0.7535 0.0000
S: 0.5035 0.0035 0.5000

---

No. 3
Computed, not measured: crystalline KYSb2 at its relaxed geometry at the GGA-PBE level of DFT.

Values from the calculation:
**Energy relative to the elements, uncorrected**: -0.465 eV/atom
**Symmetry**: C2/m, No. 12

Unit cell a=5.8722 b=5.8722 c=3.4468 alpha=89.86 beta=89.86 gamma=99.60
Atoms (fractional coordinates):
K: 0.0000 0.5000 0.5000
Sb: 0.0000 0.0000 0.0000
Sb: 0.5000 0.5000 0.0000
Y: 0.5000 0.0000 0.5000

---

No. 4
Computed, not measured: crystalline TbErMgZr at its relaxed geometry at the GGA-PBE level of DFT.

Values from the calculation:
**Symmetry**: F-43m, No. 216
**Energy of formation from the pure elements**: 0.13 eV per atom

Unit cell a=5.3385 b=5.3385 c=5.3385 alpha=60.00 beta=60.00 gamma=60.00
Atoms (fractional coordinates):
Mg: 0.0000 0.0000 0.0000
Tb: 0.2500 0.2500 0.2500
Zr: 0.5000 0.5000 0.5000
Er: 0.7500 0.7500 0.7500

---

No. 5
Computed, not measured: crystalline CsBeAs2Se at its relaxed geometry at the GGA-PBE level of DFT.

Values from the calculation:
**Energy relative to the elements, uncorrected**: 0.180 eV/atom
**Symmetry**: P4/mmm, No. 123

Unit cell a=4.7869 b=4.7869 c=5.2119 alpha=90.00 beta=90.00 gamma=90.00
Atoms (fractional coordinates):
Cs: 0.5000 0.5000 0.5000
Be: 0.0000 0.0000 0.0000
As: 0.0000 0.5000 0.0000
As: 0.5000 0.0000 0.0000
Se: 0.0000 0.0000 0.5000

---

No. 6
Computed, not measured: crystalline PuPaPd2 at its relaxed geometry at the GGA-PBE level of DFT.

Values from the calculation:
**Symmetry**: Fm-3m, No. 225
**Energy of formation from the pure elements**: -0.37 eV per atom

Unit cell a=4.9638 b=4.9638 c=4.9638 alpha=60.00 beta=60.00 gamma=60.00
Atoms (fractional coordinates):
Pa: 0.5000 0.5000 0.5000
Pd: 0.2500 0.2500 0.2500
Pd: 0.7500 0.7500 0.7500
Pu: 0.0000 0.0000 0.0000